14
Lattice="-1.5595 2.2072 10.9429 1.5595 -2.2072 10.9429 1.5595 2.2072 -10.9429" Properties=species:S:1:pos:R:3 comment="Mg3Mn4O7 | Alexandria via LeMat-Bulk | PBE+U | optimized geometry" dft_energy_ev_per_atom=-7.0130 pbc="T T T"
Mg 0.0000 0.0000 0.0000
Mg 0.0000 0.0000 3.0945
Mg 0.0000 0.0000 18.7913
Mn 0.0000 0.0000 6.2463
Mn 0.0000 0.0000 9.3809
Mn 0.0000 0.0000 12.5049
Mn 0.0000 0.0000 15.6395
O 1.5595 0.0000 1.5413
O 1.5595 0.0000 4.5773
O 1.5595 0.0000 7.8077
O 0.0000 2.2072 0.0000
O 0.0000 2.2072 3.1352
O 0.0000 2.2072 6.3655
O 0.0000 2.2072 9.4016